GGA+U NaMnRhF6, optimized geometry; VASP energy = -5.259 eV/atom; Fermi-level density of states = 0.00 states/eV/cell; mass density = 3.852 Mg/m³
1.0
5.513 0.000 0.000
-2.756 4.774 0.000
0.000 0.000 9.658
F Mn Na Rh
12 2 2 2
Direct
0.982 0.637 0.362 F
0.018 0.363 0.638 F
0.363 0.345 0.362 F
0.345 0.982 0.638 F
0.363 0.018 0.138 F
0.655 0.637 0.138 F
0.637 0.982 0.862 F
0.637 0.655 0.638 F
0.655 0.018 0.362 F
0.982 0.345 0.138 F
0.018 0.655 0.862 F
0.345 0.363 0.862 F
0.333 0.667 0.250 Mn
0.667 0.333 0.750 Mn
0.000 0.000 0.000 Na
0.000 0.000 0.500 Na
0.333 0.667 0.750 Rh
0.667 0.333 0.250 Rh